No. 1
Crystalline IrBr2 at its relaxed geometry, computed with PBE-GGA.

Cell: 6.397 6.397 8.917 Å, 52.70 52.70 33.83°
Positions (direct):
1 Br 0.253 0.253 0.161
2 Br 0.447 0.447 0.291
3 Br 0.553 0.553 0.709
4 Br 0.747 0.747 0.839
5 Ir 0.916 0.916 0.943
6 Ir 0.084 0.084 0.057

Values from the calculation:
Electronic total energy ... -3.998 eV/atom
Calculated density ... 7.44 g/cm3
Space-group type ... C2/m
Formation energy from raw total energies ... 0.07 eV/atom

***

No. 2
Crystalline KBi2O4 at its relaxed geometry, computed with PBE-GGA.

Cell: 7.227 7.227 7.227 Å, 118.99 91.76 118.99°
Each line ends with the local moment (μB).
Positions (direct):
1 O 0.154 0.268 0.830  0.19
2 O 0.114 0.676 0.846  0.19
3 O 0.596 0.176 0.364  0.19
4 O 0.580 0.768 0.404  0.19
5 O 0.188 0.824 0.420  0.19
6 O 0.562 0.732 0.886  0.19
7 O 0.170 0.324 0.438  0.19
8 O 0.636 0.232 0.812  0.19
9 Bi 0.385 0.260 0.625  0.05
10 Bi 0.365 0.740 0.125  0.05
11 Bi 0.375 0.760 0.635  0.05
12 Bi 0.875 0.240 0.615  0.05
13 K 0.000 0.000 0.000  0.00
14 K 0.750 0.500 0.250  0.00

Values from the calculation:
Electronic total energy ... -5.245 eV/atom
Calculated density ... 6.39 g/cm3
Space-group type ... I-42d
Formation energy from raw total energies ... -1.15 eV/atom

***

No. 3
Crystalline DyGaCo at its relaxed geometry, computed with PBE-GGA.

Cell: 4.415 6.840 7.050 Å, 90.00 90.00 90.00°
Positions (direct):
1 Co 0.250 0.563 0.348
2 Co 0.750 0.437 0.652
3 Co 0.250 0.937 0.848
4 Co 0.750 0.063 0.152
5 Dy 0.250 0.196 0.524
6 Dy 0.250 0.304 0.024
7 Dy 0.750 0.696 0.976
8 Dy 0.750 0.804 0.476
9 Ga 0.250 0.608 0.695
10 Ga 0.750 0.392 0.305
11 Ga 0.750 0.108 0.805
12 Ga 0.250 0.892 0.195

Values from the calculation:
ΔH_f (0 K) ... -145 kJ/mol of formula units
Electronic total energy ... -5.411 eV/atom
Calculated density ... 9.08 g/cm3
Space-group type ... Pnma

***

No. 4
Crystalline LaZn6Rh2 at its relaxed geometry, computed with PBE-GGA.

Cell: 4.356 6.919 6.919 Å, 55.33 71.65 71.65°
Positions (direct):
1 Zn 0.290 0.501 0.919
2 Zn 0.710 0.081 0.499
3 Zn 0.500 0.317 0.683
4 Zn 0.500 0.683 0.317
5 Zn 0.290 0.919 0.501
6 Zn 0.710 0.499 0.081
7 Rh 0.123 0.377 0.377
8 Rh 0.877 0.623 0.623
9 La 0.000 0.000 0.000

Values from the calculation:
ΔH_f (0 K) ... -197 kJ/mol of formula units
Electronic total energy ... -3.257 eV/atom
Calculated density ... 7.64 g/cm3
Space-group type ... Immm

***

No. 5
Crystalline PaI4 at its relaxed geometry, computed with PBE-GGA.

Cell: 7.081 7.081 7.837 Å, 90.00 90.00 90.00°
Each line ends with the local moment (μB).
Positions (direct):
1 Pa 0.500 0.500 0.500  1.08
2 Pa 0.000 0.000 0.000  1.08
3 I 0.691 0.240 0.148  -0.03
4 I 0.191 0.260 0.352  -0.03
5 I 0.740 0.191 0.648  -0.03
6 I 0.260 0.809 0.648  -0.03
7 I 0.809 0.740 0.352  -0.03
8 I 0.309 0.760 0.148  -0.03
9 I 0.240 0.309 0.852  -0.03
10 I 0.760 0.691 0.852  -0.03

Values from the calculation:
Electronic total energy ... -3.868 eV/atom
Relative energy among the computed polymorphs ... 146.6 meV/atom
Calculated density ... 6.24 g/cm3
Space-group type ... P-42_1c
Formation energy from raw total energies ... -0.73 eV/atom

***

No. 6
Crystalline Pa4AsIrS2 at its relaxed geometry, computed with PBE-GGA.

Cell: 3.856 6.938 7.098 Å, 71.58 90.00 90.00°
Positions (direct):
1 Pa 0.000 0.250 0.239
2 Pa 0.500 0.762 0.240
3 Pa 0.500 0.238 0.760
4 Pa 0.000 0.750 0.761
5 As 0.000 0.500 0.500
6 S 0.000 0.000 0.000
7 S 0.500 0.000 0.500
8 Ir 0.500 0.500 0.000

Values from the calculation:
Electronic total energy ... -8.677 eV/atom
Calculated density ... 11.57 g/cm3
Space-group type ... P2/m
Formation energy from raw total energies ... -1.21 eV/atom

***

No. 7
Crystalline ZnMo at its relaxed geometry, computed with PBE-GGA.

Cell: 3.595 3.595 3.595 Å, 60.00 60.00 60.00°
Positions (direct):
1 Mo 0.000 0.000 0.000
2 Zn 0.500 0.500 0.500

Values from the calculation:
ΔH_f (0 K) ... 165 kJ/mol of formula units
Electronic total energy ... -5.195 eV/atom
Relative energy among the computed polymorphs ... 795.3 meV/atom
Calculated density ... 8.16 g/cm3
Space-group type ... Fm-3m

***

No. 8
Crystalline AcAlSiPd6 at its relaxed geometry, computed with PBE-GGA.

Cell: 6.864 9.113 8.080 Å, 124.33 115.13 90.00°
Positions (direct):
1 Pd 0.115 0.888 0.744
2 Pd 0.629 0.356 0.744
3 Pd 0.099 0.849 0.197
4 Pd 0.885 0.112 0.256
5 Pd 0.629 0.888 0.744
6 Pd 0.115 0.356 0.744
7 Pd 0.371 0.112 0.256
8 Pd 0.901 0.151 0.803
9 Pd 0.371 0.644 0.256
10 Pd 0.435 0.685 0.870
11 Pd 0.565 0.315 0.130
12 Pd 0.885 0.644 0.256
13 Si 0.500 0.000 0.000
14 Si 0.500 0.500 0.000
15 Al 0.500 0.000 0.500
16 Al 0.000 0.000 0.500
17 Ac 0.835 0.585 0.670
18 Ac 0.165 0.415 0.330

Values from the calculation:
Electronic total energy ... -5.412 eV/atom
Calculated density ... 8.54 g/cm3
Space-group type ... Imma
Formation energy from raw total energies ... -0.47 eV/atom

***

Question: Number 6 is which compound?
Answer: Pa4AsIrS2

***

Repeat the second record exactly.
Crystalline KBi2O4 at its relaxed geometry, computed with PBE-GGA.

Cell: 7.227 7.227 7.227 Å, 118.99 91.76 118.99°
Each line ends with the local moment (μB).
Positions (direct):
1 O 0.154 0.268 0.830  0.19
2 O 0.114 0.676 0.846  0.19
3 O 0.596 0.176 0.364  0.19
4 O 0.580 0.768 0.404  0.19
5 O 0.188 0.824 0.420  0.19
6 O 0.562 0.732 0.886  0.19
7 O 0.170 0.324 0.438  0.19
8 O 0.636 0.232 0.812  0.19
9 Bi 0.385 0.260 0.625  0.05
10 Bi 0.365 0.740 0.125  0.05
11 Bi 0.375 0.760 0.635  0.05
12 Bi 0.875 0.240 0.615  0.05
13 K 0.000 0.000 0.000  0.00
14 K 0.750 0.500 0.250  0.00

Values from the calculation:
Electronic total energy ... -5.245 eV/atom
Calculated density ... 6.39 g/cm3
Space-group type ... I-42d
Formation energy from raw total energies ... -1.15 eV/atom